Material: LiAgMo2
Method: DFT, PBE
State: relaxed

It has space group Cmm2 (No. 35), with a = 3.162 Å, b = 4.432 Å, c = 9.216 Å, α = 90.00°, β = 90.00° and γ = 90.00°. The distinct sites, in fractional coordinates, are Li at (0.000, 0.000, 0.000), Ag at (0.000, 0.500, 0.243), Mo at (0.000, 0.000, 0.510) and Mo at (0.000, 0.500, 0.745).

Its relative energy among the computed polymorphs is 0.000 eV/atom. The calculation puts the formation energy at 0.1984 eV/atom. For the spin magnetization, the calculation gives 0.00 μB/cell. The density of states at the Fermi level is 5.40 states/eV/cell. For the total energy, the calculation gives -6.4085 eV per atom.